Computed, not measured: a PBEsol-optimized structure of Er2PbS4 at the SCAN level of DFT.

Cell and atoms, written as POSCAR:
```
Er2PbS4
1.0
7.787 0.000 0.000
0.000 11.888 0.000
-3.894 0.000 14.080
Er Pb S
16 8 32
direct
0.068 0.588 0.136
0.932 0.088 0.864
0.675 0.064 0.350
0.325 0.564 0.650
0.569 0.582 0.137
0.431 0.082 0.863
0.175 0.065 0.350
0.825 0.565 0.650
0.930 0.714 0.360
0.430 0.714 0.360
0.070 0.214 0.640
0.570 0.214 0.640
0.828 0.233 0.155
0.328 0.233 0.155
0.172 0.733 0.845
0.672 0.733 0.845
0.539 0.887 0.077
0.461 0.387 0.923
0.046 0.930 0.091
0.954 0.430 0.909
0.959 0.401 0.418
0.459 0.401 0.418
0.041 0.901 0.582
0.541 0.901 0.582
0.861 0.020 0.223
0.362 0.020 0.223
0.139 0.520 0.777
0.638 0.520 0.777
0.663 0.561 0.325
0.337 0.061 0.675
0.984 0.114 0.470
0.486 0.114 0.470
0.016 0.614 0.530
0.514 0.614 0.530
0.020 0.167 0.040
0.980 0.667 0.960
0.835 0.736 0.173
0.338 0.736 0.173
0.165 0.236 0.827
0.662 0.236 0.827
0.210 0.853 0.421
0.790 0.353 0.579
0.517 0.182 0.034
0.483 0.682 0.966
0.641 0.276 0.283
0.359 0.776 0.717
0.162 0.562 0.324
0.838 0.062 0.676
0.711 0.853 0.421
0.289 0.353 0.579
0.792 0.442 0.080
0.288 0.442 0.080
0.208 0.942 0.920
0.712 0.942 0.920
0.141 0.277 0.283
0.859 0.777 0.717
```

Calculated values
- energy above the most stable polymorph in this dataset (meV per atom) = 0
- formation energy (no corrections) (eV/atom) = -1.848
- E (eV per atom) = -32.559